Computed, not measured: a relaxed structure of In2Sn2Cl at the PBE level of DFT.

* uncorrected formation energy: -0.1039 eV per atom
* relative energy among the computed polymorphs: 0.25 eV/f.u.
* space group: No. 127
* ρ: 5.83 g cm⁻³
* Fermi-level density of states: 0.49 states/eV/atom

a b c (Å): 8.136 8.136 4.326
angles (deg): 90.00 90.00 90.00
Fractional positions:
In 0.167 0.333 0.000
In 0.333 0.833 0.000
In 0.667 0.167 0.000
In 0.833 0.667 0.000
Sn 0.136 0.636 0.500
Sn 0.364 0.136 0.500
Sn 0.636 0.864 0.500
Sn 0.864 0.364 0.500
Cl 0.000 0.000 0.500
Cl 0.500 0.500 0.500

Computed, not measured: a relaxed structure of InSn4Cl8 at the PBE level of DFT.

* uncorrected formation energy: -0.8336 eV per atom
* relative energy among the computed polymorphs: 0.00 eV/f.u.
* space group: No. 8
* ρ: 3.06 g cm⁻³
* Fermi-level density of states: 0.08 states/eV/atom

a b c (Å): 9.919 9.919 13.018
angles (deg): 122.66 122.66 26.36
Fractional positions:
In 0.000 0.000 0.000
Sn 0.016 0.016 0.735
Sn 0.276 0.276 0.583
Sn 0.479 0.479 0.343
Sn 0.819 0.819 0.968
Cl 0.085 0.085 0.429
Cl 0.233 0.233 0.924
Cl 0.424 0.424 0.796
Cl 0.497 0.497 0.160
Cl 0.544 0.544 0.646
Cl 0.749 0.749 0.682
Cl 0.859 0.859 0.201
Cl 0.864 0.864 0.534

Computed, not measured: a relaxed structure of InSn2Cl at the PBE level of DFT.

* uncorrected formation energy: -0.1781 eV per atom
* relative energy among the computed polymorphs: 0.00 eV/f.u.
* space group: No. 122
* ρ: 5.62 g cm⁻³
* Fermi-level density of states: 0.54 states/eV/atom

a b c (Å): 12.379 12.379 12.379
angles (deg): 159.65 159.65 28.93
Fractional positions:
In 0.000 0.000 0.000
In 0.750 0.250 0.500
Sn 0.115 0.625 0.990
Sn 0.375 0.365 0.490
Sn 0.635 0.125 0.010
Sn 0.875 0.885 0.510
Cl 0.250 0.750 0.500
Cl 0.500 0.500 0.000

Computed, not measured: a relaxed structure of InSnCl6 at the PBE level of DFT.

* uncorrected formation energy: -0.9072 eV per atom
* space group: No. 148
* ρ: 3.34 g cm⁻³
* Fermi-level density of states: 0.54 states/eV/atom

a b c (Å): 7.065 7.065 7.065
angles (deg): 55.30 55.30 55.30
Fractional positions:
In 0.000 0.000 0.000
Sn 0.500 0.500 0.500
Cl 0.094 0.753 0.399
Cl 0.247 0.601 0.906
Cl 0.399 0.094 0.753
Cl 0.601 0.906 0.247
Cl 0.753 0.399 0.094
Cl 0.906 0.247 0.601

Computed, not measured: a relaxed structure of InSn3Cl at the PBE level of DFT.

* uncorrected formation energy: 0.4361 eV per atom
* relative energy among the computed polymorphs: 0.48 eV/f.u.
* space group: No. 221
* ρ: 4.49 g cm⁻³
* Fermi-level density of states: 0.78 states/eV/atom

a b c (Å): 5.723 5.723 5.723
angles (deg): 90.00 90.00 90.00
Fractional positions:
In 0.000 0.000 0.000
Sn 0.000 0.000 0.500
Sn 0.000 0.500 0.000
Sn 0.500 0.000 0.000
Cl 0.500 0.500 0.500

Computed, not measured: a relaxed structure of In2SnCl6 at the PBE level of DFT.

* uncorrected formation energy: -0.9009 eV per atom
* space group: No. 15
* ρ: 2.61 g cm⁻³
* Fermi-level density of states: 0.28 states/eV/atom

a b c (Å): 9.337 9.337 9.486
angles (deg): 111.78 111.78 82.74
Fractional positions:
In 0.089 0.246 0.254
In 0.246 0.089 0.754
In 0.754 0.911 0.246
In 0.911 0.754 0.746
Sn 0.431 0.569 0.750
Sn 0.569 0.431 0.250
Cl 0.126 0.136 0.973
Cl 0.136 0.126 0.473
Cl 0.156 0.575 0.767
Cl 0.286 0.472 0.402
Cl 0.425 0.844 0.733
Cl 0.472 0.286 0.902
Cl 0.528 0.714 0.098
Cl 0.575 0.156 0.267
Cl 0.714 0.528 0.598
Cl 0.844 0.425 0.233
Cl 0.864 0.874 0.527
Cl 0.874 0.864 0.027

Computed, not measured: a relaxed structure of In2SnCl8 at the PBE level of DFT.

* uncorrected formation energy: -1.0320 eV per atom
* relative energy among the computed polymorphs: 0.00 eV/f.u.
* space group: No. 15
* ρ: 2.56 g cm⁻³
* Fermi-level density of states: 0.00 states/eV/atom

a b c (Å): 10.379 10.379 12.977
angles (deg): 127.32 127.32 53.00
Fractional positions:
In 0.134 0.677 0.958
In 0.323 0.866 0.542
In 0.677 0.134 0.458
In 0.866 0.323 0.042
Sn 0.497 0.503 0.750
Sn 0.503 0.497 0.250
Cl 0.132 0.141 0.531
Cl 0.141 0.132 0.031
Cl 0.157 0.625 0.761
Cl 0.228 0.633 0.322
Cl 0.252 0.398 0.970
Cl 0.367 0.772 0.178
Cl 0.375 0.843 0.739
Cl 0.398 0.252 0.470
Cl 0.602 0.748 0.530
Cl 0.625 0.157 0.261
Cl 0.633 0.228 0.822
Cl 0.748 0.602 0.030
Cl 0.772 0.367 0.678
Cl 0.843 0.375 0.239
Cl 0.859 0.868 0.969
Cl 0.868 0.859 0.469

Computed, not measured: a relaxed structure of In6SnCl8 at the PBE level of DFT.

* uncorrected formation energy: -0.8418 eV per atom
* space group: No. 148
* ρ: 3.50 g cm⁻³
* Fermi-level density of states: 0.00 states/eV/atom

a b c (Å): 8.337 8.337 8.337
angles (deg): 73.17 73.17 73.17
Fractional positions:
In 0.042 0.488 0.712
In 0.288 0.958 0.512
In 0.488 0.712 0.042
In 0.512 0.288 0.958
In 0.712 0.042 0.488
In 0.958 0.512 0.288
Sn 0.000 0.000 0.000
Cl 0.071 0.856 0.334
Cl 0.144 0.666 0.929
Cl 0.298 0.298 0.298
Cl 0.334 0.071 0.856
Cl 0.666 0.929 0.144
Cl 0.702 0.702 0.702
Cl 0.856 0.334 0.071
Cl 0.929 0.144 0.666

Computed, not measured: a relaxed structure of In2Sn3Cl8 at the PBE level of DFT.

* uncorrected formation energy: -0.9332 eV per atom
* relative energy among the computed polymorphs: 0.08 eV/f.u.
* space group: No. 12
* ρ: 3.16 g cm⁻³
* Fermi-level density of states: 0.00 states/eV/atom

a b c (Å): 8.485 8.485 7.271
angles (deg): 90.01 90.01 60.85
Fractional positions:
In 0.217 0.217 0.000
In 0.783 0.783 0.000
Sn 0.243 0.757 0.500
Sn 0.500 0.500 0.000
Sn 0.757 0.243 0.500
Cl 0.106 0.106 0.359
Cl 0.155 0.623 0.175
Cl 0.377 0.845 0.825
Cl 0.390 0.390 0.675
Cl 0.610 0.610 0.325
Cl 0.623 0.155 0.175
Cl 0.845 0.377 0.825
Cl 0.894 0.894 0.641

Computed, not measured: a relaxed structure of InSn3Cl6 at the PBE level of DFT.

* uncorrected formation energy: -0.8124 eV per atom
* space group: No. 11
* ρ: 3.67 g cm⁻³
* Fermi-level density of states: 0.23 states/eV/atom

a b c (Å): 12.025 4.105 12.721
angles (deg): 90.00 99.69 90.00
Fractional positions:
In 0.022 0.250 0.174
In 0.978 0.750 0.826
Sn 0.166 0.250 0.559
Sn 0.321 0.750 0.024
Sn 0.363 0.250 0.395
Sn 0.637 0.750 0.605
Sn 0.679 0.250 0.976
Sn 0.834 0.750 0.441
Cl 0.059 0.750 0.404
Cl 0.137 0.250 0.965
Cl 0.207 0.750 0.705
Cl 0.243 0.750 0.204
Cl 0.457 0.250 0.115
Cl 0.457 0.250 0.599
Cl 0.543 0.750 0.401
Cl 0.543 0.750 0.885
Cl 0.757 0.250 0.796
Cl 0.793 0.250 0.295
Cl 0.863 0.750 0.035
Cl 0.941 0.250 0.596

Computed, not measured: a relaxed structure of In2Sn2Cl at the PBE level of DFT.

* uncorrected formation energy: -0.1541 eV per atom
* relative energy among the computed polymorphs: 0.00 eV/f.u.
* space group: No. 139
* ρ: 5.73 g cm⁻³
* Fermi-level density of states: 0.48 states/eV/atom

a b c (Å): 8.302 8.302 8.302
angles (deg): 149.65 149.65 43.45
Fractional positions:
In 0.093 0.093 0.000
In 0.907 0.907 0.000
Sn 0.250 0.750 0.500
Sn 0.750 0.250 0.500
Cl 0.500 0.500 0.000

Computed, not measured: a relaxed structure of InSnCl5 at the PBE level of DFT.

* uncorrected formation energy: -1.0274 eV per atom
* space group: No. 15
* ρ: 3.07 g cm⁻³
* Fermi-level density of states: 0.00 states/eV/atom

a b c (Å): 7.689 7.689 9.530
angles (deg): 93.33 93.33 127.25
Fractional positions:
In 0.000 0.000 0.000
In 0.000 0.000 0.500
Sn 0.477 0.523 0.750
Sn 0.523 0.477 0.250
Cl 0.080 0.355 0.610
Cl 0.082 0.918 0.750
Cl 0.209 0.405 0.980
Cl 0.355 0.080 0.110
Cl 0.405 0.209 0.480
Cl 0.595 0.791 0.520
Cl 0.645 0.920 0.890
Cl 0.791 0.595 0.020
Cl 0.918 0.082 0.250
Cl 0.920 0.645 0.390